Record 1
Y2Pd2Au: relaxed, PBE.

It has space group I4/mmm (No. 139), with a = 3.8246 Å, b = 3.8246 Å, c = 15.4558 Å, α = 90.00°, β = 90.00° and γ = 90.00°. The asymmetric unit holds Y at (0.0000, 0.0000, 0.1105), Pd at (0.0000, 0.5000, 0.2500) and Au at (0.0000, 0.0000, 0.5000).

Its crystal system is tetragonal. The calculation puts the formation energy at -0.6972 eV/atom. The calculated density is 8.6 g/cm3. For the total energy, the calculation gives -60.2 eV for the cell shown.


Record 2
YPd2Au: relaxed, PBE.

It has space group Immm (No. 71), with a = 3.7384 Å, b = 4.3183 Å, c = 10.7835 Å, α = 90.00°, β = 90.00° and γ = 90.00°. The asymmetric unit holds Y at (0.0000, 0.0000, 0.0000), Pd at (0.0000, 0.0000, 0.2519) and Au at (0.0000, 0.0000, 0.5000).

Its crystal system is orthorhombic. The calculation puts the formation energy at -0.1745 eV/atom. The calculated density is 9.5 g/cm3. For the total energy, the calculation gives -41.7 eV for the cell shown.


Record 3
YPd2Au8: relaxed, PBE.

It has space group Immm (No. 71), with a = 4.2271 Å, b = 7.4161 Å, c = 13.4138 Å, α = 90.00°, β = 90.00° and γ = 90.00°. The asymmetric unit holds Y at (0.0000, 0.0000, 0.0000), Pd at (0.0000, 0.0000, 0.3235), Au at (0.0000, 0.2037, 0.5000), Au at (0.0000, 0.2636, 0.1636) and Au at (0.0000, 0.5000, 0.3386).

Its crystal system is orthorhombic. The calculation puts the formation energy at -0.2446 eV/atom. The calculated density is 14.8 g/cm3. For the total energy, the calculation gives -91.5 eV for the cell shown.